a:
First-principles (GGA-PBE) data for a relaxed TbNd5Er3 crystal, as listed in Alexandria.

extended XYZ file:
```
18
Lattice="8.262 -3.381 0.000 8.262 3.381 0.000 -4.062 0.000 10.896" Properties=species:S:1:pos:R:3 pbc="T T T"
Tb 5.216 1.742 8.172
Tb 7.247 -1.742 2.724
Nd -0.603 0.566 9.182
Nd 1.429 -0.566 3.734
Nd 7.247 1.280 2.724
Nd 2.574 0.024 10.327
Nd 4.605 -0.024 4.879
Nd 7.858 0.024 6.018
Nd 9.889 -0.024 0.569
Nd 5.216 -1.280 8.172
Nd 11.034 0.566 7.163
Nd 13.065 -0.566 1.715
Er 0.000 0.000 0.000
Er -2.031 0.000 5.448
Er 1.771 0.644 6.823
Er 3.802 -0.644 1.375
Er 8.660 0.644 9.521
Er 10.692 -0.644 4.073
```

Output
Crystal system: monoclinic

---

b:
First-principles (GGA-PBE) data for a relaxed TbNd5Er3 crystal, as listed in Alexandria.

extended XYZ file:
```
18
Lattice="-4.644 4.644 7.167 4.644 -4.644 7.167 4.644 4.644 -7.167" Properties=species:S:1:pos:R:3 pbc="T T T"
Tb 4.644 0.000 3.584
Tb 0.000 4.644 3.584
Nd 0.000 0.000 0.000
Nd 6.513 1.869 -1.897
Nd 1.869 2.775 -1.897
Nd 6.513 1.869 1.897
Nd 1.869 2.775 1.897
Nd 0.000 0.000 7.167
Nd 2.775 1.869 5.270
Nd -1.869 2.775 5.270
Nd 2.775 1.869 9.064
Nd -1.869 2.775 9.064
Er 3.624 1.020 0.000
Er 0.000 0.000 3.584
Er 3.624 -1.020 7.167
Er 1.020 5.664 0.000
Er 0.000 0.000 10.751
Er 1.020 3.624 7.167
```

Output
Crystal system: tetragonal

---

Result of the stability comparison: a is the most stable of them.